Computed, not measured: a relaxed structure of La2AlRu at the PBE level of DFT.

Cell lengths 3.3257, 3.3257, 8.9482 Å; angles 90.00, 90.00, 90.00 degrees
Space group P4mm (No. 99)
One atom of each set of equivalent atoms:
La (0.0000, 0.0000, 0.0000) [1 per cell]
La (0.5000, 0.5000, 0.3905) [1 per cell]
Al (0.5000, 0.5000, 0.7407) [1 per cell]
Ru (0.0000, 0.0000, 0.6146) [1 per cell]

Output
Total magnetic moment = 0.00 μB per formula unit

=====

Computed, not measured: a relaxed structure of Fe3Co at the PBE level of DFT.

Cell lengths 2.8389, 2.8389, 11.4769 Å; angles 90.00, 90.00, 90.00 degrees
Space group P4/nmm (No. 129, origin choice 2)
One atom of each set of equivalent atoms:
Fe (0.2500, 0.2500, 0.0623) [2 per cell]
Fe (0.2500, 0.2500, 0.5639) [2 per cell]
Fe (0.2500, 0.2500, 0.8114) [2 per cell]
Co (0.2500, 0.2500, 0.3127) [2 per cell]

Output
Total magnetic moment = 9.35 μB per formula unit

=====

no.,electronic total energy (eV per atom),N(E_F) (states/eV per cell)
1,-5.955,3.7
2,-8.159,3.8